Ho2CoPt | PBE | optimized geometry

Unit cell a=4.1687 b=5.5540 c=7.1700 alpha=90.00 beta=90.00 gamma=90.00
Fractional coordinates of all 8 atoms:
Ho1 0.0000 0.1259 0.1755
Pt1 0.5000 0.1185 0.4629
Pt2 0.5000 0.8815 0.9629
Ho2 0.5000 0.3817 0.8211
Ho3 0.0000 0.8741 0.6755
Co1 0.0000 0.6073 0.0405
Ho4 0.5000 0.6183 0.3211
Co2 0.0000 0.3927 0.5405

* magnetization: 0.00 μB per formula unit
* formation enthalpy at 0 K: -0.720 eV/atom
* symmetry: Pmc2_1 (26)

=====

Ho2CoPt | PBE | optimized geometry

Unit cell a=5.5829 b=4.1547 c=7.1579 alpha=90.00 beta=90.91 gamma=90.00
Last column: magnetic moment on the atom in μB.
Fractional coordinates of all 8 atoms:
Pt1 0.8414 0.7500 0.5471  0.00
Ho1 0.8650 0.2500 0.8274  -0.01
Ho2 0.3643 0.7500 0.6876  0.00
Ho3 0.1350 0.7500 0.1726  -0.01
Ho4 0.6357 0.2500 0.3124  0.00
Pt2 0.1586 0.2500 0.4529  0.00
Co1 0.6144 0.7500 0.0291  0.08
Co2 0.3856 0.2500 0.9709  0.08

* magnetization: 0.07 μB per formula unit
* formation enthalpy at 0 K: -0.717 eV/atom
* symmetry: P2_1/m (11)

=====

Ho2CoSi4Pt | PBE | optimized geometry

Unit cell a=4.0782 b=8.5384 c=8.5384 alpha=27.29 beta=90.00 gamma=90.00
Fractional coordinates of all 8 atoms:
Ho1 0.0000 0.6022 0.6022
Pt1 0.5000 0.1745 0.1745
Si1 0.5000 0.7595 0.7595
Si2 0.0000 0.9567 0.9567
Si3 0.0000 0.2578 0.2578
Ho2 0.5000 0.3949 0.3949
Si4 0.5000 0.0322 0.0322
Co1 0.0000 0.8223 0.8223

* total DFT energy (no corrections): -6.38 eV/atom
* magnetization: 0.00 μB per formula unit
* symmetry: Amm2 (38)

=====

Ho3CoS6 | PBE | optimized geometry

Unit cell a=9.2950 b=3.7892 c=12.0441 alpha=90.00 beta=104.01 gamma=90.00
Fractional coordinates of all 20 atoms:
S1 0.3601 0.7500 0.7357
S2 0.9665 0.7500 0.6244
S3 0.0487 0.2500 0.8963
Ho1 0.1628 0.2500 0.1403
Ho2 0.8372 0.7500 0.8597
Ho3 0.8220 0.2500 0.4883
S4 0.0335 0.2500 0.3756
S5 0.3526 0.7500 0.0503
Co1 0.5263 0.7500 0.6214
S6 0.6474 0.2500 0.9497
Co2 0.4737 0.2500 0.3786
S7 0.4020 0.2500 0.5381
S8 0.5980 0.7500 0.4619
S9 0.6897 0.2500 0.6834
Ho4 0.3339 0.2500 0.8848
Ho5 0.6661 0.7500 0.1152
S10 0.9513 0.7500 0.1037
S11 0.3103 0.7500 0.3166
S12 0.6399 0.2500 0.2643
Ho6 0.1780 0.7500 0.5117

* total DFT energy (no corrections): -6.07 eV/atom
* magnetization: 0.00 μB per formula unit
* symmetry: P2_1/m (11)

=====

Ho2CoS4 | PBE | optimized geometry

Unit cell a=7.6864 b=7.6864 c=7.6864 alpha=60.00 beta=60.00 gamma=60.00
Last column: magnetic moment on the atom in μB.
Fractional coordinates of all 14 atoms:
S1 0.8747 0.3758 0.8747  0.07
S2 0.3758 0.8747 0.8747  0.05
S3 0.3753 0.8742 0.3753  0.07
Co1 0.5000 0.5000 0.5000  2.33
Co2 0.7500 0.7500 0.7500  2.33
S4 0.3753 0.3753 0.8742  0.07
Ho1 0.1250 0.1250 0.1250  0.07
Ho2 0.1250 0.6250 0.1250  0.07
Ho3 0.1250 0.1250 0.6250  0.08
S5 0.8742 0.3753 0.3753  0.05
S6 0.8747 0.8747 0.8747  0.07
Ho4 0.6250 0.1250 0.1250  0.07
S7 0.3753 0.3753 0.3753  0.07
S8 0.8747 0.8747 0.3758  0.07

* total DFT energy (no corrections): -6.11 eV/atom
* magnetization: 3.00 μB per formula unit
* symmetry: Fd-3m (227)

=====

HoTlCoS3 | PBE | optimized geometry

Unit cell a=10.9928 b=4.0094 c=11.7588 alpha=90.00 beta=90.00 gamma=90.00
Last column: magnetic moment on the atom in μB.
Fractional coordinates of all 24 atoms:
Ho1 0.5158 0.0000 0.8337  0.03
S1 0.8891 0.5000 0.5552  0.07
S2 0.3891 0.5000 0.9448  0.07
S3 0.1109 0.0000 0.4448  0.07
Co1 0.7506 0.5000 0.7007  1.48
S4 0.9505 0.0000 0.1812  0.07
Ho2 0.0158 0.0000 0.6663  0.03
Ho3 0.4842 0.5000 0.1663  0.03
S5 0.0495 0.5000 0.8188  0.07
S6 0.7236 0.5000 0.2773  0.09
Tl1 0.3340 0.5000 0.5094  0.01
Co2 0.7494 0.0000 0.2007  1.48
S7 0.7764 0.0000 0.7773  0.09
S8 0.2764 0.0000 0.7227  0.09
S9 0.6109 0.0000 0.0552  0.07
Co3 0.2506 0.5000 0.7993  1.48
S10 0.2236 0.5000 0.2227  0.09
Ho4 0.9842 0.5000 0.3337  0.03
Tl2 0.8340 0.5000 0.9906  0.01
S11 0.4505 0.0000 0.3188  0.07
Tl3 0.6660 0.0000 0.4906  0.01
Tl4 0.1660 0.0000 0.0094  0.01
S12 0.5495 0.5000 0.6812  0.07
Co4 0.2494 0.0000 0.2993  1.48

* total DFT energy (no corrections): -5.37 eV/atom
* magnetization: 1.92 μB per formula unit
* symmetry: Pnma (62)

=====

HoCo2Sb | PBE | optimized geometry

Unit cell a=4.0064 b=7.3847 c=4.8885 alpha=90.00 beta=90.00 gamma=90.00
Last column: magnetic moment on the atom in μB.
Fractional coordinates of all 8 atoms:
Co1 0.0000 0.0002 0.4995  -0.56
Sb1 0.5000 0.1785 0.2500  0.01
Sb2 0.5000 0.8215 0.7500  0.01
Co2 0.5000 0.5001 0.0000  -0.56
Ho1 0.0000 0.3159 0.7504  0.13
Co3 0.5000 0.4999 0.5000  -0.57
Ho2 0.0000 0.6841 0.2504  0.13
Co4 0.0000 0.9998 0.9995  -0.58

* total DFT energy (no corrections): -5.91 eV/atom
* magnetization: 0.96 μB per formula unit
* symmetry: Pmma (51)

=====

HoCo2Sb | PBE | optimized geometry

Unit cell a=4.2812 b=4.6264 c=7.4010 alpha=90.00 beta=90.00 gamma=90.00
Last column: magnetic moment on the atom in μB.
Fractional coordinates of all 8 atoms:
Co1 0.5000 0.2447 0.2495  1.08
Co2 0.0000 0.7553 0.7495  1.07
Ho1 0.0000 0.5016 0.0836  -0.10
Sb1 0.0000 0.0005 0.4165  0.03
Ho2 0.5000 0.4984 0.5836  -0.10
Co3 0.5000 0.7567 0.2504  1.07
Co4 0.0000 0.2433 0.7504  1.08
Sb2 0.5000 0.9995 0.9165  0.03

* total DFT energy (no corrections): -5.95 eV/atom
* magnetization: 2.11 μB per formula unit
* symmetry: Pmn2_1 (31)

=====

Ho5CoSb2 | PBE | optimized geometry

Unit cell a=12.1286 b=8.7266 c=7.8329 alpha=90.00 beta=90.00 gamma=90.00
Fractional coordinates of all 32 atoms:
Ho1 0.9980 0.2500 0.5478
Ho2 0.5654 0.0377 0.3230
Ho3 0.8073 0.2500 0.1227
Sb1 0.6729 0.5082 0.9306
Sb2 0.8271 0.0082 0.4306
Ho4 0.9346 0.5377 0.8230
Sb3 0.3271 0.0082 0.0694
Ho5 0.5654 0.4623 0.3230
Ho6 0.0654 0.0377 0.1770
Ho7 0.2961 0.7500 0.3434
Sb4 0.6729 0.9918 0.9306
Ho8 0.2039 0.2500 0.8434
Ho9 0.4980 0.2500 0.9522
Ho10 0.3073 0.2500 0.3773
Ho11 0.4346 0.9623 0.6770
Ho12 0.1927 0.7500 0.8773
Ho13 0.4346 0.5377 0.6770
Co1 0.9900 0.2500 0.9302
Ho14 0.0654 0.4623 0.1770
Sb5 0.8271 0.4918 0.4306
Co2 0.0100 0.7500 0.0698
Sb6 0.3271 0.4918 0.0694
Sb7 0.1729 0.5082 0.5694
Co3 0.4900 0.2500 0.5698
Ho15 0.5020 0.7500 0.0478
Ho16 0.9346 0.9623 0.8230
Ho17 0.7039 0.2500 0.6566
Ho18 0.0020 0.7500 0.4522
Ho19 0.7961 0.7500 0.1566
Ho20 0.6927 0.7500 0.6227
Co4 0.5100 0.7500 0.4302
Sb8 0.1729 0.9918 0.5694

* total DFT energy (no corrections): -5.49 eV/atom
* magnetization: 0.00 μB per formula unit
* symmetry: Pnma (62)

=====

HoScCo | PBE | optimized geometry

Unit cell a=4.5012 b=4.5012 c=4.5012 alpha=60.00 beta=60.00 gamma=60.00
Fractional coordinates of all 3 atoms:
Co1 0.5000 0.5000 0.5000
Ho1 0.2500 0.2500 0.2500
Sc1 0.0000 0.0000 0.0000

* magnetization: 0.01 μB per formula unit
* excess energy over the best structure of this formula in the dataset: 0.120 eV/atom
* formation enthalpy at 0 K: 0.791 eV/atom
* symmetry: F-43m (216)

=====

HoScCo | PBE | optimized geometry

Unit cell a=4.4526 b=4.4526 c=4.4526 alpha=60.00 beta=60.00 gamma=60.00
Fractional coordinates of all 3 atoms:
Ho1 0.7500 0.7500 0.7500
Sc1 0.0000 0.0000 0.0000
Co1 0.2500 0.2500 0.2500

* magnetization: 0.00 μB per formula unit
* excess energy over the best structure of this formula in the dataset: 0.000 eV/atom
* formation enthalpy at 0 K: 0.671 eV/atom
* symmetry: F-43m (216)

=====

Ho4CoSi3 | PBE | optimized geometry

Unit cell a=5.6740 b=3.7928 c=7.8052 alpha=90.00 beta=91.05 gamma=90.00
Fractional coordinates of all 8 atoms:
Si1 0.8726 0.0000 0.9651
Si2 0.6142 0.0000 0.4652
Ho1 0.3780 0.0000 0.8031
Si3 0.1272 0.5000 0.0406
Ho2 0.6160 0.5000 0.1798
Co1 0.3804 0.5000 0.5319
Ho3 0.8864 0.5000 0.6763
Ho4 0.1251 0.0000 0.3380

* total DFT energy (no corrections): -5.89 eV/atom
* magnetization: 0.02 μB per formula unit
* symmetry: Pm (6)

=====

Copy entry 11 word for word.
HoScCo | PBE | optimized geometry

Unit cell a=4.4526 b=4.4526 c=4.4526 alpha=60.00 beta=60.00 gamma=60.00
Fractional coordinates of all 3 atoms:
Ho1 0.7500 0.7500 0.7500
Sc1 0.0000 0.0000 0.0000
Co1 0.2500 0.2500 0.2500

* magnetization: 0.00 μB per formula unit
* excess energy over the best structure of this formula in the dataset: 0.000 eV/atom
* formation enthalpy at 0 K: 0.671 eV/atom
* symmetry: F-43m (216)